Run a
ZrTaPO2, optimized geometry, DFT PBE-GGA; crystal system = tetragonal; calculated volume = 87.32 Å³/f.u.; SG = P4/mmm
1.0
-0.9492 -3.7195 -0.9796
3.7121 -0.6216 -1.2366
1.4146 -1.7050 5.1033
Ta O P Zr
1 2 1 1
direct
0.5000 0.5000 0.5000
0.5000 0.0000 0.0000
0.0000 0.5000 0.0000
0.0000 0.0000 0.5000
0.0000 0.0000 0.0000

Run b
ZrTaPO2, optimized geometry, DFT PBE-GGA; crystal system = tetragonal; calculated volume = 79.02 Å³/f.u.; SG = P4/mmm
1.0
3.8967 0.0000 0.0000
0.0000 3.8967 0.0000
0.0000 0.0000 5.2043
P O Zr Ta
1 2 1 1
direct
0.0000 0.0000 0.5000
0.5000 0.0000 0.0000
0.0000 0.5000 0.0000
0.5000 0.5000 0.5000
0.0000 0.0000 0.0000

Last place for stability: run a

Run a
TcP3O, optimized geometry, DFT PBE-GGA; crystal system = cubic; calculated volume = 65.24 Å³/f.u.; SG = Pm-3m
1.0
-1.0825 -2.3669 3.0713
3.8771 -0.6189 0.8896
-0.0509 3.1971 2.4459
P Tc O
3 1 1
direct
0.0000 0.5000 0.0000
0.0000 0.0000 0.5000
0.5000 0.0000 0.0000
0.5000 0.5000 0.5000
0.0000 0.0000 0.0000

Run b
TcP3O, optimized geometry, DFT PBE-GGA; crystal system = cubic; calculated volume = 92.69 Å³/f.u.; SG = Pm-3m
1.0
-4.4061 0.0535 -1.0317
-1.0278 -0.6852 4.3537
-0.1047 4.4731 0.6792
P Tc O
3 1 1
direct
0.5000 0.0000 0.0000
0.0000 0.0000 0.5000
0.0000 0.5000 0.0000
0.0000 0.0000 0.0000
0.5000 0.5000 0.5000

Last place for stability: run b

Run a
Tc2PO, optimized geometry, DFT PBE-GGA; crystal system = tetragonal; calculated volume = 59.87 Å³/f.u.; SG = I-42d
1.0
5.1429 0.0000 0.0000
0.0000 5.1429 0.0000
2.5714 2.5714 4.5274
P O Tc
2 2 4
direct
0.0000 0.0000 0.0000
0.7500 0.2500 0.5000
0.2500 0.7500 0.5000
0.5000 0.5000 0.0000
0.8750 0.8311 0.7500
0.1689 0.6250 0.2500
0.5811 0.1250 0.2500
0.3750 0.4189 0.7500

Run b
Tc2PO, optimized geometry, DFT PBE-GGA; crystal system = cubic; calculated volume = 47.05 Å³/f.u.; SG = Fm-3m
1.0
4.0034 -0.4502 0.4376
1.8854 1.6331 3.1936
1.4622 -2.3884 2.9290
Tc P O
2 1 1
direct
0.2500 0.2500 0.2500
0.7500 0.7500 0.7500
0.5000 0.5000 0.5000
0.0000 0.0000 0.0000

Last place for stability: run b

Run a
TcPO5, optimized geometry, DFT PBE-GGA; crystal system = monoclinic; calculated volume = 90.83 Å³/f.u.; SG = C2/c
1.0
5.1212 0.1057 -1.4888
-1.4226 4.9207 -1.4888
-0.0650 -0.0883 7.2187
Tc P O
2 2 10
direct
0.0000 0.0000 0.5000
0.0000 0.0000 0.0000
0.6647 0.3353 0.7500
0.3353 0.6647 0.2500
0.0598 0.9402 0.7500
0.6342 0.7387 0.3917
0.7387 0.6342 0.8917
0.1536 0.6974 0.3848
0.9402 0.0598 0.2500
0.2613 0.3658 0.1083
0.6974 0.1536 0.8848
0.3026 0.8464 0.1152
0.3658 0.2613 0.6083
0.8464 0.3026 0.6152

Run b
TcPO5, optimized geometry, DFT PBE-GGA; crystal system = orthorhombic; calculated volume = 69.30 Å³/f.u.; SG = Immm
1.0
4.9147 -0.1275 -0.0207
1.4383 4.7013 -0.0207
2.2519 1.6212 5.9371
Tc O P
2 10 2
direct
0.5000 0.5000 0.2500
0.5000 0.5000 0.7500
0.2871 0.7128 0.5000
0.2872 0.7129 0.0000
0.2466 0.2464 0.3767
0.7534 0.7536 0.6233
0.7128 0.2871 0.0000
0.7536 0.7534 0.1233
0.2464 0.2466 0.8767
0.0001 0.9999 0.7500
0.7129 0.2872 0.5000
0.9999 0.0001 0.2500
0.0000 0.0000 0.0000
0.0000 0.0000 0.5000

Last place for stability: run b

Run a
TcTeP2O, optimized geometry, DFT PBE-GGA; crystal system = tetragonal; calculated volume = 99.22 Å³/f.u.; SG = P4/mmm
1.0
5.0533 0.0000 0.0000
0.0000 5.0533 0.0000
0.0000 0.0000 3.8854
Te P O Tc
1 2 1 1
direct
0.0000 0.0000 0.0000
0.5000 0.0000 0.0000
0.0000 0.5000 0.0000
0.0000 0.0000 0.5000
0.5000 0.5000 0.5000

Run b
TcTeP2O, optimized geometry, DFT PBE-GGA; crystal system = tetragonal; calculated volume = 87.91 Å³/f.u.; SG = P4/mmm
1.0
4.8472 0.0000 0.0000
0.0000 4.8472 0.0000
0.0000 0.0000 3.7417
Te Tc P O
1 1 2 1
direct
0.5000 0.5000 0.5000
0.0000 0.0000 0.0000
0.5000 0.0000 0.0000
0.0000 0.5000 0.0000
0.0000 0.0000 0.5000

Last place for stability: run a

Run a
TiTcP2O, optimized geometry, DFT PBE-GGA; crystal system = tetragonal; calculated volume = 84.38 Å³/f.u.; SG = P4/mmm
1.0
4.8325 0.0000 0.0000
0.0000 4.8325 0.0000
0.0000 0.0000 3.6135
P O Ti Tc
2 1 1 1
direct
0.0000 0.5000 0.0000
0.5000 0.0000 0.0000
0.0000 0.0000 0.5000
0.0000 0.0000 0.0000
0.5000 0.5000 0.5000

Run b
TiTcP2O, optimized geometry, DFT PBE-GGA; crystal system = tetragonal; calculated volume = 82.77 Å³/f.u.; SG = P4/mmm
1.0
4.7672 0.0000 0.0000
0.0000 4.7672 0.0000
0.0000 0.0000 3.6421
Tc P O Ti
1 2 1 1
direct
0.0000 0.0000 0.0000
0.5000 0.0000 0.0000
0.0000 0.5000 0.0000
0.0000 0.0000 0.5000
0.5000 0.5000 0.5000

Last place for stability: run a

Run a
TlTcPO2, optimized geometry, DFT PBE-GGA; crystal system = tetragonal; calculated volume = 93.83 Å³/f.u.; SG = P4/mmm
1.0
-1.0736 2.7157 -2.7519
-3.7660 -0.0886 1.3819
1.2702 4.2884 3.7364
Tc O Tl P
1 2 1 1
direct
0.5000 0.5000 0.5000
0.5000 0.0000 0.0000
0.0000 0.5000 0.0000
0.0000 0.0000 0.0000
0.0000 0.0000 0.5000

Run b
TlTcPO2, optimized geometry, DFT PBE-GGA; crystal system = tetragonal; calculated volume = 77.54 Å³/f.u.; SG = P4/mmm
1.0
-1.1206 -2.4922 2.7287
2.8493 -2.3985 -1.0205
3.1686 2.3120 3.4128
Tc O Tl P
1 2 1 1
direct
0.0000 0.0000 0.0000
0.5000 0.0000 0.0000
0.0000 0.5000 0.0000
0.5000 0.5000 0.5000
0.0000 0.0000 0.5000

Last place for stability: run a